1.
DFT (GGA-PBE) results for a relaxed structure of LiGa4Rh3.

Calculated values
Space-group type   R-3m

Cell lengths 4.2796, 4.2796, 7.4504 Å; angles 73.31, 73.31, 60.00 degrees
Last column: nearest neighbours and their distance in Å.
Fractional coordinates of all 8 atoms:
Ga1 0.6258 0.6258 0.1227  5 Rh 2.60-2.65, 3 Li 2.62
Ga2 0.3742 0.3742 0.8773  5 Rh 2.60-2.65, 3 Li 2.62
Ga3 0.1253 0.1253 0.6241  7 Rh 2.62-2.65, 1 Li 2.64
Ga4 0.8747 0.8747 0.3759  7 Rh 2.62-2.65, 1 Li 2.64
Rh1 0.5000 0.5000 0.5000  8 Ga 2.62-2.65
Rh2 0.7492 0.7492 0.7522  8 Ga 2.60-2.65
Rh3 0.2507 0.2507 0.2478  8 Ga 2.60-2.65
Li1 0.0000 0.0000 0.0000  8 Ga 2.62-2.64


2.
DFT (GGA-PBE) results for a relaxed structure of Sm3ScP4.

Calculated values
Space-group type   P2/c

Cell lengths 6.9762, 6.9685, 8.0642 Å; angles 90.00, 90.00, 109.52 degrees
Last column: nearest neighbours and their distance in Å.
Fractional coordinates of all 16 atoms:
P1 0.9927 0.2436 0.6322  1 Sc 2.78, 5 Sm 2.84-2.94
P2 0.5073 0.7564 0.6322  1 Sc 2.78, 5 Sm 2.84-2.94
P3 0.5004 0.2356 0.8828  2 Sc 2.76, 4 Sm 2.84-2.93
P4 0.4996 0.7644 0.1172  2 Sc 2.76, 4 Sm 2.84-2.93
P5 0.4927 0.2436 0.3678  1 Sc 2.78, 5 Sm 2.84-2.94
P6 0.0073 0.7564 0.3678  1 Sc 2.78, 5 Sm 2.84-2.94
P7 0.0004 0.2356 0.1172  2 Sc 2.76, 4 Sm 2.84-2.93
P8 0.9996 0.7644 0.8828  2 Sc 2.76, 4 Sm 2.84-2.93
Sm1 0.2500 0.5000 0.8765  6 P 2.84-2.93
Sm2 0.2500 0.0000 0.6272  6 P 2.84-2.86
Sm3 0.7500 0.5000 0.6275  6 P 2.84-2.94
Sm4 0.7500 0.5000 0.1235  6 P 2.84-2.93
Sm5 0.2500 0.5000 0.3725  6 P 2.84-2.94
Sm6 0.7500 0.0000 0.3728  6 P 2.84-2.86
Sc1 0.2500 0.0000 0.1232  6 P 2.76-2.78
Sc2 0.7500 0.0000 0.8768  6 P 2.76-2.78


3.
DFT (GGA-PBE) results for a relaxed structure of KRb4Pd3F12.

Calculated values
Energy relative to the elements, uncorrected   -2.063 eV per atom
Space-group type   Im-3m

Cell lengths 7.7031, 7.7031, 7.7031 Å; angles 109.47, 109.47, 109.47 degrees
Last column: nearest neighbours and their distance in Å.
Fractional coordinates of all 20 atoms:
F1 0.2500 0.7500 0.5000  2 Pd 2.22
F2 0.7500 0.2500 0.5000  2 Pd 2.22
F3 0.2755 0.0000 0.2755  1 Pd 2.00
F4 0.5000 0.2500 0.7500  2 Pd 2.22
F5 0.0000 0.2755 0.2755  1 Pd 2.00
F6 0.2755 0.2755 0.0000  1 Pd 2.00
F7 0.0000 0.7245 0.7245  1 Pd 2.00
F8 0.7500 0.5000 0.2500  2 Pd 2.22
F9 0.7245 0.7245 0.0000  1 Pd 2.00
F10 0.7245 0.0000 0.7245  1 Pd 2.00
F11 0.5000 0.7500 0.2500  2 Pd 2.22
F12 0.2500 0.5000 0.7500  2 Pd 2.22
Rb1 0.5000 0.5000 0.5000  12 F 3.14-3.15
Rb2 0.5000 0.0000 0.0000  12 F 3.14-3.15
Rb3 0.0000 0.0000 0.5000  12 F 3.14-3.15
Rb4 0.0000 0.5000 0.0000  12 F 3.14-3.15
Pd1 0.0000 0.5000 0.5000  6 F 2.00-2.22
Pd2 0.5000 0.5000 0.0000  6 F 2.00-2.22
Pd3 0.5000 0.0000 0.5000  6 F 2.00-2.22
K1 0.0000 0.0000 0.0000  6 F 2.45


4.
DFT (GGA-PBE) results for a relaxed structure of HfCd2Si2.

Calculated values
Energy relative to the elements, uncorrected   0.313 eV per atom
Energy above the most stable polymorph in this dataset   0.42 eV per formula unit
Space-group type   I4/mmm

Cell lengths 3.3966, 3.3966, 9.2503 Å; angles 79.42, 79.42, 90.00 degrees
Last column: nearest neighbours and their distance in Å.
Fractional coordinates of all 5 atoms:
Cd1 0.6104 0.6104 0.7792  4 Si 3.02, 4 Hf 3.11
Cd2 0.3896 0.3896 0.2208  4 Si 3.02, 4 Hf 3.11
Si1 0.7500 0.2500 0.5000  4 Si 2.40
Si2 0.2500 0.7500 0.5000  4 Si 2.40
Hf1 0.0000 0.0000 0.0000  8 Cd 3.11, 4 Hf 3.40


5.
DFT (GGA-PBE) results for a relaxed structure of RbTa2I.

Calculated values
Energy relative to the elements, uncorrected   1.383 eV per atom
Energy above the most stable polymorph in this dataset   0.00 eV per formula unit
Space-group type   I4_1/amd

Cell lengths 5.0400, 5.0400, 11.2342 Å; angles 77.04, 77.04, 90.00 degrees
Last column: nearest neighbours and their distance in Å.
Fractional coordinates of all 8 atoms:
I1 0.0000 0.0000 0.0000  4 Ta 2.95
I2 0.7500 0.2500 0.5000  4 Ta 2.95
Rb1 0.5000 0.5000 0.0000  4 I 3.56, 8 Ta 3.88
Rb2 0.2500 0.7500 0.5000  4 I 3.56, 8 Ta 3.88
Ta1 0.8752 0.6250 0.2500  2 Ta 2.52
Ta2 0.8750 0.1248 0.7500  2 Ta 2.52
Ta3 0.3750 0.1252 0.7500  2 Ta 2.52
Ta4 0.8748 0.1250 0.2500  2 Ta 2.52


6.
DFT (GGA-PBE) results for a relaxed structure of Sm2Ho8Pu.

Calculated values
Space-group type   C2/m

Cell lengths 5.6396, 9.9847, 9.9847 Å; angles 39.90, 92.31, 92.31 degrees
Last column: nearest neighbours and their distance in Å.
Fractional coordinates of all 11 atoms:
Ho1 0.7639 0.8190 0.8190  4 Sm 3.38-3.48, 4 Ho 3.46-3.52, 1 Pu 3.60
Ho2 0.7350 0.8648 0.3916  5 Ho 3.22-3.59, 1 Sm 3.39, 1 Pu 3.40
Ho3 0.2358 0.5476 0.5476  1 Ho 3.14, 1 Sm 3.20
Ho4 0.2650 0.6084 0.1352  5 Ho 3.22-3.59, 1 Sm 3.39, 1 Pu 3.40
Ho5 0.2650 0.1352 0.6084  5 Ho 3.22-3.59, 1 Sm 3.39, 1 Pu 3.40
Ho6 0.7642 0.4524 0.4524  1 Ho 3.14, 1 Sm 3.20
Ho7 0.7350 0.3916 0.8648  5 Ho 3.22-3.59, 1 Sm 3.39, 1 Pu 3.40
Ho8 0.2361 0.1810 0.1810  4 Sm 3.38-3.48, 4 Ho 3.46-3.52, 1 Pu 3.60
Pu1 0.0000 0.0000 0.0000  10 Ho 3.40-3.75
Sm1 0.7524 0.2816 0.2816  7 Ho 3.20-3.48
Sm2 0.2476 0.7184 0.7184  7 Ho 3.20-3.48


7.
DFT (GGA-PBE) results for a relaxed structure of PrEuIrAu.

Calculated values
Space-group type   F-43m

Cell lengths 5.1331, 5.1331, 5.1331 Å; angles 60.00, 60.00, 60.00 degrees
Last column: nearest neighbours and their distance in Å.
Fractional coordinates of all 4 atoms:
Au1 0.0000 0.0000 0.0000  4 Pr 3.14, 4 Eu 3.14
Ir1 0.5000 0.5000 0.5000  4 Pr 3.14, 4 Eu 3.14
Pr1 0.2500 0.2500 0.2500  4 Ir 3.14, 4 Au 3.14
Eu1 0.7500 0.7500 0.7500  4 Ir 3.14, 4 Au 3.14


8.
DFT (GGA-PBE) results for a relaxed structure of Ho6FeBi2.

Calculated values
Space-group type   P-62m

Cell lengths 8.3122, 8.3122, 4.1582 Å; angles 90.00, 90.00, 120.00 degrees
Last column: nearest neighbours and their distance in Å.
Fractional coordinates of all 9 atoms:
Ho1 0.7692 0.7692 0.0000  2 Fe 2.83
Ho2 0.6087 0.0000 0.5000  1 Fe 3.25, 4 Bi 3.30, 4 Ho 3.51
Ho3 0.0000 0.6087 0.5000  1 Fe 3.25, 4 Bi 3.30, 4 Ho 3.51
Ho4 0.2308 0.0000 0.0000  2 Fe 2.83
Ho5 0.0000 0.2308 0.0000  2 Fe 2.83
Ho6 0.3913 0.3913 0.5000  1 Fe 3.25, 4 Bi 3.30, 4 Ho 3.51
Fe1 0.0000 0.0000 0.5000  6 Ho 2.83
Bi1 0.3333 0.6667 0.0000  9 Ho 3.28-3.30
Bi2 0.6667 0.3333 0.0000  9 Ho 3.28-3.30


9.
DFT (GGA-PBE) results for a relaxed structure of Zn2Ni8Ir.

Calculated values
Energy above the most stable polymorph in this dataset   0.00 eV per formula unit
Space-group type   Cmmm

Cell lengths 3.8188, 6.0822, 6.0823 Å; angles 105.82, 90.02, 90.02 degrees
Last column: nearest neighbours and their distance in Å.
Fractional coordinates of all 11 atoms:
Ni1 0.5000 0.7531 0.2469  2 Zn 2.29, 1 Ir 2.40, 4 Ni 2.54
Ni2 0.9997 0.7005 0.9628  2 Zn 2.43-2.68, 7 Ni 2.47-2.60, 2 Ir 2.61
Ni3 0.9997 0.9628 0.7005  2 Zn 2.43-2.68, 7 Ni 2.47-2.60, 2 Ir 2.61
Ni4 0.0003 0.0372 0.2995  2 Zn 2.43-2.68, 7 Ni 2.47-2.60, 2 Ir 2.61
Ni5 0.5000 0.2469 0.7531  2 Zn 2.29, 1 Ir 2.40, 4 Ni 2.54
Ni6 0.0003 0.2995 0.0372  2 Zn 2.43-2.68, 7 Ni 2.47-2.60, 2 Ir 2.61
Ni7 0.4997 0.6662 0.6662  5 Ni 2.44-2.60, 1 Ir 2.45, 4 Zn 2.56
Ni8 0.5003 0.3338 0.3338  5 Ni 2.44-2.60, 1 Ir 2.45, 4 Zn 2.56
Zn1 0.0000 0.3766 0.6234  4 Ni 2.29-2.43, 1 Zn 2.40
Zn2 0.0000 0.6234 0.3766  4 Ni 2.29-2.43, 1 Zn 2.40
Ir1 0.5000 0.0000 0.0000  12 Ni 2.40-2.61


10.
DFT (GGA-PBE) results for a relaxed structure of LiBe2InBi.

Calculated values
Space-group type   P4/mmm

Cell lengths 4.5865, 5.1191, 4.5865 Å; angles 90.00, 90.00, 90.00 degrees
Last column: nearest neighbours and their distance in Å.
Fractional coordinates of all 5 atoms:
Li1 0.0000 0.5000 0.0000  2 In 2.56
In1 0.0000 0.0000 0.0000  4 Be 2.29, 2 Li 2.56
Be1 0.0000 0.0000 0.5000  2 In 2.29
Be2 0.5000 0.0000 0.0000  2 In 2.29
Bi1 0.5000 0.5000 0.5000  4 Li 3.24, 8 Be 3.44


Number 1: total energy -41.09 eV for the cell shown. Number 2: total energy -108.51 eV for the cell shown. Number 3: total energy -84.26 eV for the cell shown. Number 4: total energy -21.06 eV for the cell shown. Number 5: total energy -41.38 eV for the cell shown. Number 6: total energy -58.23 eV for the cell shown. Number 7: total energy -29.56 eV for the cell shown. Number 8: total energy -47.51 eV for the cell shown. Number 9: total energy -56.34 eV for the cell shown. Number 10: total energy -12.43 eV for the cell shown.